# 1
CaCoBr3 | PBE | optimized geometry

extended XYZ file:
```
5
Lattice="5.053 0.000 0.000 0.000 5.053 0.000 0.000 0.000 5.053" Properties=species:S:1:pos:R:3 pbc="T T T"
Ca 0.000 0.000 0.000
Co 2.526 2.526 2.526
Br 0.000 2.526 2.526
Br 2.526 0.000 2.526
Br 2.526 2.526 0.000
```

Values from the calculation:
E above lowest polymorph ... 0.0 kJ per mole of atoms
DFT total energy ... -3.5600 eV/atom

=====

# 2
CaCo4Br | PBE | optimized geometry

extended XYZ file:
```
6
Lattice="0.000 3.592 3.592 3.592 0.000 3.592 3.592 3.592 0.000" Properties=species:S:1:pos:R:3 pbc="T T T"
Ca 0.000 0.000 0.000
Co 4.493 2.691 2.691
Co 2.691 4.493 2.691
Co 2.691 2.691 4.493
Co 4.493 4.493 4.493
Br 1.796 1.796 1.796
```

Values from the calculation:
DFT total energy ... -5.0155 eV/atom

=====

# 3
CaCoBr | PBE | optimized geometry

extended XYZ file:
```
6
Lattice="4.912 0.000 0.000 -2.456 4.254 0.000 0.000 0.000 8.712" Properties=species:S:1:pos:R:3 pbc="T T T"
Ca 0.000 2.836 2.178
Ca 2.456 1.418 6.534
Co 0.000 0.000 0.000
Co 0.000 0.000 4.356
Br 0.000 0.000 2.178
Br 0.000 0.000 6.534
```

Values from the calculation:
DFT total energy ... -3.3672 eV/atom

=====

# 4
CaCoBr4 | PBE | optimized geometry

extended XYZ file:
```
6
Lattice="0.000 4.498 4.498 4.498 0.000 4.498 4.498 4.498 0.000" Properties=species:S:1:pos:R:3 pbc="T T T"
Ca 0.000 0.000 0.000
Co 6.747 6.747 6.747
Br 3.377 3.377 3.377
Br 5.620 5.620 3.377
Br 5.620 3.377 5.620
Br 3.377 5.620 5.620
```

Values from the calculation:
E above lowest polymorph ... 141.8 kJ per mole of atoms
DFT total energy ... -2.2714 eV/atom

=====

# 5
CaCoBr | PBE | optimized geometry

extended XYZ file:
```
6
Lattice="3.855 0.000 0.000 0.000 3.969 0.000 1.922 0.029 9.623" Properties=species:S:1:pos:R:3 pbc="T T T"
Ca 0.961 1.008 3.029
Ca 4.816 2.990 6.594
Co 2.889 1.007 5.330
Co 2.889 2.991 4.292
Br 2.889 1.006 7.987
Br 2.889 2.992 1.636
```

Values from the calculation:
DFT total energy ... -4.3250 eV/atom

=====

# 6
CaCoBr | PBE | optimized geometry

extended XYZ file:
```
3
Lattice="4.107 0.000 0.000 -2.053 3.556 0.000 0.000 0.000 4.012" Properties=species:S:1:pos:R:3 pbc="T T T"
Ca 0.000 0.000 0.000
Co 2.053 1.185 2.006
Br 0.000 2.371 2.006
```

Values from the calculation:
DFT total energy ... -3.7733 eV/atom

=====

# 7
Ca2CoBr | PBE | optimized geometry

extended XYZ file:
```
4
Lattice="3.359 -1.944 0.000 3.359 1.944 0.000 -2.233 0.000 7.934" Properties=species:S:1:pos:R:3 pbc="T T T"
Ca 1.116 0.000 1.720
Ca 3.368 0.000 6.214
Co 3.359 0.000 0.000
Br -1.117 0.000 3.967
```

Values from the calculation:
E above lowest polymorph ... 1.8 kJ per mole of atoms
DFT total energy ... -3.6420 eV/atom

=====

# 8
Ca2CoBr | PBE | optimized geometry

extended XYZ file:
```
4
Lattice="3.701 -3.699 0.000 3.701 3.699 0.000 -0.017 0.000 3.460" Properties=species:S:1:pos:R:3 pbc="T T T"
Ca 1.851 1.850 0.000
Ca 1.851 -1.850 0.000
Co -0.008 0.000 1.730
Br 3.693 0.000 1.730
```

Values from the calculation:
E above lowest polymorph ... 17.7 kJ per mole of atoms
DFT total energy ... -3.4776 eV/atom